Below is an optimized crystal structure of Pm2Ge3Pd, with properties calculated at the PBE-GGA level.

V in Å³/cell: 1056
Calculated density in kg/m³: 7729
Total energy in eV for the cell shown: -269.13

abc: 8.373 8.528 14.788
angles: 90.00 90.00 90.00
Space group Fmmm (No. 69)
Inequivalent atoms, fractional coordinates:
Pm (0.246, 0.000, 0.000) [8 per cell]
Pm (0.250, 0.250, 0.250) [8 per cell]
Ge (0.000, 0.000, 0.168) [8 per cell]
Ge (0.000, 0.247, 0.416) [16 per cell]
Pd (0.000, 0.000, 0.333) [8 per cell]